Computed, not measured: Mn2TlO after structural relaxation at the GGA+U level of DFT.

```
Mn2TlO
1.0
-4.149 4.808 0.670
-1.639 -0.558 -6.147
-5.762 -0.489 -1.737
Mn O Tl
4 2 2
Direct
0.506 0.125 0.250 Mn
0.244 0.625 0.250 Mn
0.875 0.756 0.750 Mn
0.375 0.494 0.750 Mn
0.250 0.750 0.500 O
0.500 0.500 0.000 O
0.750 0.250 0.500 Tl
0.000 0.000 0.000 Tl
```

SG: I-42d, No. 122
Polymorph energy (0 for the lowest one) (eV/atom): 0.000
Theoretical density (g/cm3): 6.7